w:
Computed, not measured: HoEr2Os after structural relaxation at the PBE-GGA level of DFT.

a = 3.397 Å, b = 3.397 Å, c = 32.411 Å
α = 90.00°, β = 90.00°, γ = 120.00°
Sites, in units of the cell vectors:
Ho1 0.000 0.000 0.000
Ho2 0.333 0.667 0.667
Ho3 0.667 0.333 0.333
Er1 0.000 0.000 0.105
Er2 0.000 0.000 0.895
Er3 0.333 0.667 0.562
Er4 0.333 0.667 0.771
Er5 0.667 0.333 0.229
Er6 0.667 0.333 0.438
Os1 0.000 0.000 0.500
Os2 0.333 0.667 0.167
Os3 0.667 0.333 0.833

## Properties
Calculated density (g cm⁻³): 10.61
Volume (Å³/f.u.): 107.95
SG: R-3m (166)

---

x:
Computed, not measured: HoEr2Os after structural relaxation at the PBE-GGA level of DFT.

a = 3.373 Å, b = 3.373 Å, c = 9.117 Å
α = 90.00°, β = 90.00°, γ = 90.00°
Sites, in units of the cell vectors:
Ho1 0.000 0.000 0.000
Er1 0.500 0.500 0.319
Er2 0.500 0.500 0.681
Os1 0.000 0.000 0.500

## Properties
Calculated density (g cm⁻³): 11.04
Volume (Å³/f.u.): 103.73
SG: P4/mmm (123)

---

y:
Computed, not measured: HoEr2Os after structural relaxation at the PBE-GGA level of DFT.

a = 3.965 Å, b = 11.760 Å, c = 8.909 Å
α = 90.00°, β = 90.00°, γ = 90.00°
Sites, in units of the cell vectors:
Ho1 0.000 0.074 0.250
Ho2 0.000 0.926 0.750
Ho3 0.500 0.426 0.750
Ho4 0.500 0.574 0.250
Er1 0.000 0.355 0.065
Er2 0.000 0.355 0.435
Er3 0.000 0.645 0.565
Er4 0.000 0.645 0.935
Er5 0.500 0.145 0.565
Er6 0.500 0.145 0.935
Er7 0.500 0.855 0.065
Er8 0.500 0.855 0.435
Os1 0.000 0.258 0.750
Os2 0.000 0.742 0.250
Os3 0.500 0.242 0.250
Os4 0.500 0.758 0.750

## Properties
Calculated density (g cm⁻³): 11.03
Volume (Å³/f.u.): 103.86
SG: Cmcm (63)

---

z:
Computed, not measured: HoEr2Os after structural relaxation at the PBE-GGA level of DFT.

a = 7.372 Å, b = 8.959 Å, c = 6.269 Å
α = 90.00°, β = 90.00°, γ = 90.00°
Sites, in units of the cell vectors:
Ho1 0.039 0.250 0.128
Ho2 0.461 0.750 0.628
Ho3 0.539 0.250 0.372
Ho4 0.961 0.750 0.872
Er1 0.174 0.062 0.666
Er2 0.174 0.438 0.666
Er3 0.326 0.562 0.166
Er4 0.326 0.938 0.166
Er5 0.674 0.062 0.834
Er6 0.674 0.438 0.834
Er7 0.826 0.562 0.334
Er8 0.826 0.938 0.334
Os1 0.117 0.750 0.460
Os2 0.383 0.250 0.960
Os3 0.617 0.750 0.040
Os4 0.883 0.250 0.540

## Properties
Calculated density (g cm⁻³): 11.06
Volume (Å³/f.u.): 103.51
SG: Pnma (62)

---

Which of them is the least stable? Correct choice: w.

---

w:
Computed, not measured: Ho2ErOs after structural relaxation at the PBE-GGA level of DFT.

a = 3.411 Å, b = 3.411 Å, c = 32.373 Å
α = 90.00°, β = 90.00°, γ = 120.00°
Sites, in units of the cell vectors:
Ho1 0.000 0.000 0.105
Ho2 0.000 0.000 0.895
Ho3 0.333 0.667 0.562
Ho4 0.333 0.667 0.771
Ho5 0.667 0.333 0.229
Ho6 0.667 0.333 0.438
Er1 0.000 0.000 0.000
Er2 0.333 0.667 0.667
Er3 0.667 0.333 0.333
Os1 0.000 0.000 0.500
Os2 0.333 0.667 0.167
Os3 0.667 0.333 0.833

## Properties
Calculated density (g cm⁻³): 10.50
Volume (Å³/f.u.): 108.74
SG: R-3m (166)

---

x:
Computed, not measured: Ho2ErOs after structural relaxation at the PBE-GGA level of DFT.

a = 3.379 Å, b = 3.379 Å, c = 9.181 Å
α = 90.00°, β = 90.00°, γ = 90.00°
Sites, in units of the cell vectors:
Ho1 0.000 0.000 0.181
Ho2 0.000 0.000 0.819
Er1 0.500 0.500 0.500
Os1 0.500 0.500 0.000

## Properties
Calculated density (g cm⁻³): 10.89
Volume (Å³/f.u.): 104.81
SG: P4/mmm (123)

---

y:
Computed, not measured: Ho2ErOs after structural relaxation at the PBE-GGA level of DFT.

a = 7.368 Å, b = 8.997 Å, c = 6.282 Å
α = 90.00°, β = 90.00°, γ = 90.00°
Sites, in units of the cell vectors:
Ho1 0.175 0.062 0.168
Ho2 0.175 0.438 0.168
Ho3 0.325 0.562 0.668
Ho4 0.325 0.938 0.668
Ho5 0.675 0.062 0.332
Ho6 0.675 0.438 0.332
Ho7 0.825 0.562 0.832
Ho8 0.825 0.938 0.832
Er1 0.039 0.250 0.629
Er2 0.461 0.750 0.129
Er3 0.539 0.250 0.871
Er4 0.961 0.750 0.371
Os1 0.117 0.750 0.962
Os2 0.383 0.250 0.462
Os3 0.617 0.750 0.538
Os4 0.883 0.250 0.038

## Properties
Calculated density (g cm⁻³): 10.96
Volume (Å³/f.u.): 104.10
SG: Pnma (62)

---

z:
Computed, not measured: Ho2ErOs after structural relaxation at the PBE-GGA level of DFT.

a = 3.976 Å, b = 11.740 Å, c = 8.930 Å
α = 90.00°, β = 90.00°, γ = 90.00°
Sites, in units of the cell vectors:
Ho1 0.000 0.144 0.065
Ho2 0.000 0.144 0.435
Ho3 0.000 0.856 0.565
Ho4 0.000 0.856 0.935
Ho5 0.500 0.356 0.565
Ho6 0.500 0.356 0.935
Ho7 0.500 0.644 0.065
Ho8 0.500 0.644 0.435
Er1 0.000 0.425 0.250
Er2 0.000 0.575 0.750
Er3 0.500 0.075 0.750
Er4 0.500 0.925 0.250
Os1 0.000 0.241 0.750
Os2 0.000 0.759 0.250
Os3 0.500 0.259 0.250
Os4 0.500 0.741 0.750

## Properties
Calculated density (g cm⁻³): 10.95
Volume (Å³/f.u.): 104.22
SG: Cmcm (63)

---

Which of them is the least stable? Correct choice: w.

---

w:
Computed, not measured: Ho2ErPa after structural relaxation at the PBE-GGA level of DFT.

a = 3.315 Å, b = 3.315 Å, c = 36.406 Å
α = 90.00°, β = 90.00°, γ = 120.00°
Sites, in units of the cell vectors:
Ho1 0.000 0.000 0.088
Ho2 0.000 0.000 0.912
Ho3 0.333 0.667 0.579
Ho4 0.333 0.667 0.754
Ho5 0.667 0.333 0.246
Ho6 0.667 0.333 0.421
Er1 0.000 0.000 0.500
Er2 0.333 0.667 0.167
Er3 0.667 0.333 0.833
Pa1 0.000 0.000 0.000
Pa2 0.333 0.667 0.667
Pa3 0.667 0.333 0.333

## Properties
Calculated density (g cm⁻³): 10.47
Volume (Å³/f.u.): 115.49
SG: R-3m (166)

---

x:
Computed, not measured: Ho2ErPa after structural relaxation at the PBE-GGA level of DFT.

a = 3.414 Å, b = 3.414 Å, c = 34.306 Å
α = 90.00°, β = 90.00°, γ = 120.00°
Sites, in units of the cell vectors:
Ho1 0.000 0.000 0.000
Ho2 0.000 0.000 0.162
Ho3 0.333 0.667 0.667
Ho4 0.333 0.667 0.829
Ho5 0.667 0.333 0.333
Ho6 0.667 0.333 0.496
Er1 0.000 0.000 0.581
Er2 0.333 0.667 0.248
Er3 0.667 0.333 0.914
Pa1 0.000 0.000 0.415
Pa2 0.333 0.667 0.082
Pa3 0.667 0.333 0.748

## Properties
Calculated density (g cm⁻³): 10.48
Volume (Å³/f.u.): 115.41
SG: R3m (160)

---

Which of them is the least stable? Correct choice: w.

---

w:
Computed, not measured: Ho2ErPa after structural relaxation at the PBE-GGA level of DFT.

a = 5.759 Å, b = 5.759 Å, c = 3.499 Å
α = 90.00°, β = 90.00°, γ = 90.00°
Sites, in units of the cell vectors:
Ho1 0.000 0.500 0.000
Ho2 0.500 0.000 0.000
Er1 0.000 0.000 0.500
Pa1 0.500 0.500 0.500

## Properties
Calculated density (g cm⁻³): 10.42
Volume (Å³/f.u.): 116.03
SG: P4/mmm (123)

---

x:
Computed, not measured: Ho2ErPa after structural relaxation at the PBE-GGA level of DFT.

a = 3.399 Å, b = 3.399 Å, c = 10.099 Å
α = 90.00°, β = 90.00°, γ = 90.00°
Sites, in units of the cell vectors:
Ho1 0.000 0.000 0.235
Ho2 0.000 0.000 0.765
Er1 0.500 0.500 0.500
Pa1 0.500 0.500 0.000

## Properties
Calculated density (g cm⁻³): 10.37
Volume (Å³/f.u.): 116.64
SG: P4/mmm (123)

---

Which of them is the least stable? Correct choice: w.